No. 1
Density functional theory data (SCAN) for a crystal of NaTlRe3 relaxed with PBEsol.

## Properties
- final energy (eV per formula unit) = -273.1
- formation energy (eV per atom) = 3.350
- Fermi-level density of states (states/eV/cell) = 7.49
- crystal system = cubic

a = 4.941 Å, b = 4.941 Å, c = 4.941 Å
α = 90.00°, β = 90.00°, γ = 90.00°
Site moments in Bohr magnetons follow the coordinates.
Element x y z (fractional)
Re  0.000  0.500  0.000  0.73
Re  0.000  0.000  0.500  0.73
Re  0.500  0.000  0.000  0.73
Tl  0.000  0.000  0.000  -0.02
Na  0.500  0.500  0.500  -0.01

No. 2
Density functional theory data (SCAN) for a crystal of NaYRe3 relaxed with PBEsol.

## Properties
- final energy (eV per formula unit) = -232.4
- formation energy (eV per atom) = 2.590
- Fermi-level density of states (states/eV/cell) = 7.26
- crystal system = cubic

a = 4.546 Å, b = 4.546 Å, c = 4.546 Å
α = 90.00°, β = 90.00°, γ = 90.00°
Site moments in Bohr magnetons follow the coordinates.
Element x y z (fractional)
Y  0.500  0.500  0.500  -0.04
Re  0.000  0.500  0.000  0.49
Re  0.000  0.000  0.500  0.49
Re  0.500  0.000  0.000  0.49
Na  0.000  0.000  0.000  0.08

No. 3
Density functional theory data (SCAN) for a crystal of Na2Y2Re relaxed with PBEsol.

## Properties
- final energy (eV per formula unit) = -133.2
- formation energy (eV per atom) = 0.410
- Fermi-level density of states (states/eV/cell) = 3.68
- crystal system = tetragonal

a = 3.604 Å, b = 3.604 Å, c = 10.149 Å
α = 100.23°, β = 100.23°, γ = 90.00°
Element x y z (fractional)
Y  0.421  0.421  0.842
Y  0.579  0.579  0.158
Re  0.000  0.000  0.000
Na  0.250  0.750  0.500
Na  0.750  0.250  0.500

No. 4
Density functional theory data (SCAN) for a crystal of NaRuRh3 relaxed with PBEsol.

## Properties
- final energy (eV per formula unit) = -135.1
- formation energy (eV per atom) = 1.050
- Fermi-level density of states (states/eV/cell) = 3.25
- crystal system = cubic

a = 4.627 Å, b = 4.627 Å, c = 4.627 Å
α = 90.00°, β = 90.00°, γ = 90.00°
Element x y z (fractional)
Ru  0.000  0.000  0.000
Rh  0.000  0.500  0.000
Rh  0.000  0.000  0.500
Rh  0.500  0.000  0.000
Na  0.500  0.500  0.500

no.,size of the total moment (μB per formula unit)
1,2.6
2,1.8
3,0.0
4,0.0